<one>
16
Lattice="4.1165 0.0000 0.0000 0.0000 4.1165 0.0000 0.0000 0.0000 17.9640" Properties=species:S:1:pos:R:3 comment="YCrPd2 PBE relaxed" spacegroup="I-42d, No. 122" m_tot_mub_per_cell=0.004 pbc="T T T"
Y 0.0000 0.0000 0.0000
Y 0.0000 2.0582 4.4910
Y 2.0582 0.0000 13.4730
Y 2.0582 2.0582 8.9820
Cr 0.0000 0.0000 8.9820
Cr 0.0000 2.0582 13.4730
Cr 2.0582 0.0000 4.4910
Cr 2.0582 2.0582 0.0000
Pd 0.8791 1.0291 11.2275
Pd 1.0291 2.9373 15.7185
Pd 1.0291 3.2373 6.7365
Pd 1.1791 1.0291 2.2455
Pd 2.9373 3.0873 2.2455
Pd 3.0873 0.8791 6.7365
Pd 3.0873 1.1791 15.7185
Pd 3.2373 3.0873 11.2275

=====

<two>
16
Lattice="6.6774 0.0000 0.0000 0.0000 6.6774 0.0000 0.0000 0.0000 6.6774" Properties=species:S:1:pos:R:3 comment="YCrPd2 PBE relaxed" spacegroup="Fm-3m, No. 225" m_tot_mub_per_cell=17.119 pbc="T T T"
Y 0.0000 0.0000 0.0000
Y 0.0000 3.3387 3.3387
Y 3.3387 0.0000 3.3387
Y 3.3387 3.3387 0.0000
Cr 0.0000 0.0000 3.3387
Cr 0.0000 3.3387 0.0000
Cr 3.3387 0.0000 0.0000
Cr 3.3387 3.3387 3.3387
Pd 1.6694 1.6694 1.6694
Pd 1.6694 1.6694 5.0081
Pd 1.6694 5.0081 1.6694
Pd 1.6694 5.0081 5.0081
Pd 5.0081 1.6694 1.6694
Pd 5.0081 1.6694 5.0081
Pd 5.0081 5.0081 1.6694
Pd 5.0081 5.0081 5.0081

=====

<two> takes first place; second place is 707 meV per atom up.

=====

<one>
5
Lattice="4.3050 0.0000 0.0000 0.0000 4.3050 0.0000 0.0000 0.0000 4.3050" Properties=species:S:1:pos:R:3 comment="ZnCr3Pd PBE relaxed" spacegroup="Pm-3m, No. 221" m_tot_mub_per_cell=0.021 pbc="T T T"
Zn 0.0000 0.0000 0.0000
Cr 0.0000 0.0000 2.1525
Cr 0.0000 2.1525 0.0000
Cr 2.1525 0.0000 0.0000
Pd 2.1525 2.1525 2.1525

=====

<two>
5
Lattice="4.8597 0.0000 0.0000 0.0000 4.8597 0.0000 0.0000 0.0000 4.8597" Properties=species:S:1:pos:R:3 comment="ZnCr3Pd PBE relaxed" spacegroup="Pm-3m, No. 221" m_tot_mub_per_cell=12.602 pbc="T T T"
Zn 0.0000 0.0000 0.0000
Cr 0.0000 2.4299 2.4299
Cr 2.4299 0.0000 2.4299
Cr 2.4299 2.4299 0.0000
Pd 2.4299 2.4299 2.4299

=====

<two> takes first place; second place is 406 meV per atom up.

=====

<one>
8
Lattice="5.0129 0.0000 0.0000 -2.2818 4.5549 0.0000 -0.1200 -0.3929 5.5427" Properties=species:S:1:pos:R:3 comment="ZrCr2Pd PBE relaxed" spacegroup="P1, No. 1" m_tot_mub_per_cell=0.762 pbc="T T T"
Zr 0.0000 0.0000 0.0000
Zr -0.0252 2.8078 4.1232
Cr -1.1079 2.2801 1.3037
Cr 1.2384 2.3244 1.0575
Cr 2.7008 -0.1164 1.6669
Cr 2.4057 2.5588 2.8012
Pd 0.3330 0.4509 2.8306
Pd 2.5261 0.9692 4.6635

=====

<two>
16
Lattice="9.3950 0.0000 0.0000 0.0000 3.9241 0.0000 -1.9088 0.0000 7.1121" Properties=species:S:1:pos:R:3 comment="ZrCr2Pd PBE relaxed" spacegroup="Cm, No. 8" m_tot_mub_per_cell=0.788 pbc="T T T"
Zr 0.0000 0.0000 0.0000
Zr 0.1074 1.9620 5.0750
Zr 4.6975 1.9620 0.0000
Zr 4.8049 0.0000 5.0750
Cr 0.8332 0.0000 2.8945
Cr 2.1418 0.0000 4.7732
Cr 2.8496 1.9620 3.7211
Cr 3.6986 0.0000 2.4063
Cr 5.5308 1.9620 2.8945
Cr 6.8393 1.9620 4.7732
Cr 7.5471 0.0000 3.7211
Cr 8.3961 1.9620 2.4063
Pd 1.6371 1.9620 1.3389
Pd 0.8593 0.0000 6.9825
Pd 6.3346 0.0000 1.3389
Pd 5.5569 1.9620 6.9825

=====

<two> takes first place; second place is 31 meV per atom up.

=====

<one>
16
Lattice="6.4989 0.0000 0.0000 0.0000 6.4989 0.0000 0.0000 0.0000 6.4989" Properties=species:S:1:pos:R:3 comment="ZrCrPd2 PBE relaxed" spacegroup="Fm-3m, No. 225" m_tot_mub_per_cell=15.241 pbc="T T T"
Zr 0.0000 0.0000 0.0000
Zr 0.0000 3.2495 3.2495
Zr 3.2495 0.0000 3.2495
Zr 3.2495 3.2495 0.0000
Cr 0.0000 0.0000 3.2495
Cr 0.0000 3.2495 0.0000
Cr 3.2495 0.0000 0.0000
Cr 3.2495 3.2495 3.2495
Pd 1.6247 1.6247 1.6247
Pd 1.6247 1.6247 4.8742
Pd 1.6247 4.8742 1.6247
Pd 1.6247 4.8742 4.8742
Pd 4.8742 1.6247 1.6247
Pd 4.8742 1.6247 4.8742
Pd 4.8742 4.8742 1.6247
Pd 4.8742 4.8742 4.8742

=====

<two>
16
Lattice="3.8891 0.0000 0.0000 0.0000 3.8891 0.0000 0.0000 0.0000 18.2551" Properties=species:S:1:pos:R:3 comment="ZrCrPd2 PBE relaxed" spacegroup="I-42d, No. 122" m_tot_mub_per_cell=0.000 pbc="T T T"
Zr 0.0000 0.0000 0.0000
Zr 0.0000 1.9445 4.5638
Zr 1.9445 0.0000 13.6914
Zr 1.9445 1.9445 9.1276
Cr 0.0000 0.0000 9.1276
Cr 0.0000 1.9445 13.6914
Cr 1.9445 0.0000 4.5638
Cr 1.9445 1.9445 0.0000
Pd 0.9166 0.9723 11.4095
Pd 0.9723 2.8612 15.9733
Pd 0.9723 2.9725 6.8457
Pd 1.0279 0.9723 2.2819
Pd 2.8612 2.9168 2.2819
Pd 2.9168 0.9166 6.8457
Pd 2.9168 1.0279 15.9733
Pd 2.9725 2.9168 11.4095

=====

<one> takes first place; second place is 536 meV per atom up.

=====

<one>
6
Lattice="4.7575 0.0000 0.0000 -2.3787 4.1201 0.0000 0.0000 0.0000 3.9510" Properties=species:S:1:pos:R:3 comment="Cr5Pt PBE relaxed" spacegroup="P6/mmm, No. 191" m_tot_mub_per_cell=0.000 pbc="T T T"
Cr -1.1894 2.0601 0.0000
Cr 0.0000 2.7467 1.9755
Cr 2.3787 0.0000 0.0000
Cr 1.1894 2.0601 0.0000
Cr 2.3787 1.3734 1.9755
Pt 0.0000 0.0000 1.9755

=====

<two>
12
Lattice="4.2930 0.0000 0.0000 0.0000 2.4939 0.0000 0.0000 0.0000 14.0534" Properties=species:S:1:pos:R:3 comment="Cr5Pt PBE relaxed" spacegroup="Amm2, No. 38" m_tot_mub_per_cell=0.000 pbc="T T T"
Cr 0.0000 0.0000 0.0000
Cr 0.0000 0.0000 4.5996
Cr 0.0000 0.0000 9.3110
Cr 0.0000 1.2469 2.2843
Cr 0.0000 1.2469 7.0267
Cr 0.0000 1.2469 11.6263
Cr 2.1465 0.0000 3.2165
Cr 2.1465 0.0000 7.9379
Cr 2.1465 1.2469 0.9112
Cr 2.1465 1.2469 10.2433
Pt 2.1465 0.0000 12.5592
Pt 2.1465 1.2469 5.5325

=====

<two> takes first place; second place is 91 meV per atom up.

=====

<one>
6
Lattice="4.5589 0.0000 0.0000 -2.2795 3.9481 0.0000 0.0000 0.0000 4.1569" Properties=species:S:1:pos:R:3 comment="Cr5Pt PBE relaxed" spacegroup="P-62m, No. 189" m_tot_mub_per_cell=0.000 pbc="T T T"
Cr -1.4870 2.5755 0.0000
Cr 0.0000 2.6321 2.0784
Cr 0.7925 1.3726 0.0000
Cr 2.9740 0.0000 0.0000
Cr 2.2795 1.3160 2.0784
Pt 0.0000 0.0000 2.0784

=====

<two>
12
Lattice="4.1938 0.0000 0.0000 0.0000 12.4059 0.0000 0.0000 0.0000 3.0122" Properties=species:S:1:pos:R:3 comment="Cr5Pt PBE relaxed" spacegroup="Cmmm, No. 65" m_tot_mub_per_cell=7.234 pbc="T T T"
Cr 0.0000 0.0000 0.0000
Cr 0.0000 2.0488 1.5061
Cr 0.0000 4.0149 0.0000
Cr 0.0000 8.3910 0.0000
Cr 0.0000 10.3572 1.5061
Cr 2.0969 2.1881 0.0000
Cr 2.0969 4.1542 1.5061
Cr 2.0969 6.2030 0.0000
Cr 2.0969 8.2517 1.5061
Cr 2.0969 10.2179 0.0000
Pt 0.0000 6.2030 1.5061
Pt 2.0969 0.0000 1.5061

=====

<three>
6
Lattice="2.9066 0.0000 0.0000 0.0000 2.9066 0.0000 0.0000 0.0000 9.0644" Properties=species:S:1:pos:R:3 comment="Cr5Pt PBE relaxed" spacegroup="P4/mmm, No. 123" m_tot_mub_per_cell=3.262 pbc="T T T"
Cr 0.0000 0.0000 0.0000
Cr 0.0000 0.0000 2.7691
Cr 0.0000 0.0000 6.2953
Cr 1.4533 1.4533 1.4412
Cr 1.4533 1.4533 7.6232
Pt 1.4533 1.4533 4.5322

=====

<three> takes first place; second place is 5 meV per atom up.

=====

<one>
12
Lattice="9.7443 0.0000 0.0000 0.0000 2.5109 0.0000 -1.6302 0.0000 6.1468" Properties=species:S:1:pos:R:3 comment="Cr5Pt PBE relaxed" spacegroup="Cm, No. 8" m_tot_mub_per_cell=0.000 pbc="T T T"
Cr 0.0000 0.0000 0.0000
Cr -0.4850 0.0000 3.9127
Cr 1.0953 1.2555 2.1060
Cr 2.1201 0.0000 4.0993
Cr 3.5088 0.0000 1.8426
Cr 4.8722 1.2555 0.0000
Cr 4.3872 1.2555 3.9127
Cr 5.9674 0.0000 2.1060
Cr 6.9923 1.2555 4.0993
Cr 8.3810 1.2555 1.8426
Pt 0.6669 1.2555 5.9210
Pt 5.5390 0.0000 5.9210

=====

<two>
6
Lattice="0.0000 3.3357 3.3357 3.3357 0.0000 3.3357 3.3357 3.3357 0.0000" Properties=species:S:1:pos:R:3 comment="Cr5Pt PBE relaxed" spacegroup="F-43m, No. 216" m_tot_mub_per_cell=0.257 pbc="T T T"
Cr 0.0000 0.0000 0.0000
Cr 4.1795 2.4918 2.4918
Cr 2.4918 4.1795 2.4918
Cr 2.4918 2.4918 4.1795
Cr 4.1795 4.1795 4.1795
Pt 1.6678 1.6678 1.6678

=====

<two> takes first place; second place is 132 meV per atom up.

=====

<one>
10
Lattice="3.6556 0.0000 0.0000 0.0000 3.6556 0.0000 0.0000 0.0000 13.1279" Properties=species:S:1:pos:R:3 comment="CrPt4 PBE relaxed" spacegroup="I4/mmm, No. 139" m_tot_mub_per_cell=5.178 pbc="T T T"
Cr 0.0000 0.0000 0.0000
Cr 1.8278 1.8278 6.5639
Pt 0.0000 0.0000 5.3081
Pt 0.0000 0.0000 7.8198
Pt 0.0000 1.8278 3.2820
Pt 0.0000 1.8278 9.8459
Pt 1.8278 0.0000 3.2820
Pt 1.8278 0.0000 9.8459
Pt 1.8278 1.8278 1.2558
Pt 1.8278 1.8278 11.8721

=====

<two>
15
Lattice="2.7583 0.0000 0.0000 -1.3792 2.3888 0.0000 0.0000 0.0000 33.8709" Properties=species:S:1:pos:R:3 comment="CrPt4 PBE relaxed" spacegroup="R-3m, No. 166" m_tot_mub_per_cell=2.066 pbc="T T T"
Cr 0.0000 0.0000 0.0000
Cr 0.0000 1.5925 22.5806
Cr 1.3792 0.7963 11.2903
Pt 0.0000 0.0000 6.8316
Pt 0.0000 0.0000 13.3611
Pt 0.0000 0.0000 20.5097
Pt 0.0000 0.0000 27.0393
Pt 0.0000 1.5925 2.0708
Pt 0.0000 1.5925 9.2194
Pt 0.0000 1.5925 15.7490
Pt 0.0000 1.5925 29.4122
Pt 1.3792 0.7963 4.4587
Pt 1.3792 0.7963 18.1219
Pt 1.3792 0.7963 24.6514
Pt 1.3792 0.7963 31.8000

=====

<two> takes first place; second place is 373 meV per atom up.

=====

<one>
16
Lattice="7.5537 0.0000 0.0000 -3.7769 6.5417 0.0000 0.0000 0.0000 4.6928" Properties=species:S:1:pos:R:3 comment="Cr5Pt3 PBE relaxed" spacegroup="P6_3/mcm, No. 193" m_tot_mub_per_cell=9.669 pbc="T T T"
Cr -0.8579 1.4860 1.1732
Cr -2.9189 5.0557 3.5196
Cr 1.7159 0.0000 1.1732
Cr 0.8579 1.4860 3.5196
Cr 0.0000 4.3611 0.0000
Cr 0.0000 4.3611 2.3464
Cr 3.7769 2.1806 0.0000
Cr 3.7769 2.1806 2.3464
Cr 5.8378 0.0000 3.5196
Cr 2.9189 5.0557 1.1732
Pt -1.4942 2.5881 3.5196
Pt -2.2826 3.9536 1.1732
Pt 2.9884 0.0000 3.5196
Pt 1.4942 2.5881 1.1732
Pt 4.5653 0.0000 1.1732
Pt 2.2826 3.9536 3.5196

=====

<two>
16
Lattice="7.4475 0.0000 0.0000 0.0000 7.7654 0.0000 0.0000 0.0000 3.8874" Properties=species:S:1:pos:R:3 comment="Cr5Pt3 PBE relaxed" spacegroup="Cmmm, No. 65" m_tot_mub_per_cell=5.891 pbc="T T T"
Cr 0.0000 0.0000 0.0000
Cr 0.0000 2.0235 1.9437
Cr 0.0000 5.7419 1.9437
Cr 1.8619 1.9414 0.0000
Cr 1.8619 5.8241 0.0000
Cr 3.7238 1.8592 1.9437
Cr 3.7238 3.8827 0.0000
Cr 3.7238 5.9063 1.9437
Cr 5.5856 1.9414 0.0000
Cr 5.5856 5.8241 0.0000
Pt 0.0000 3.8827 0.0000
Pt 1.7683 0.0000 1.9437
Pt 1.9554 3.8827 1.9437
Pt 3.7238 0.0000 0.0000
Pt 5.4921 3.8827 1.9437
Pt 5.6792 0.0000 1.9437

=====

<two> takes first place; second place is 273 meV per atom up.

=====

<one>
5
Lattice="4.2751 0.0000 0.0000 -2.1376 3.7024 0.0000 0.0000 0.0000 5.2747" Properties=species:S:1:pos:R:3 comment="Cr3Pt2 PBE relaxed" spacegroup="P-3m1, No. 164" m_tot_mub_per_cell=9.544 pbc="T T T"
Cr 0.0000 0.0000 0.0000
Cr 0.0000 2.4683 1.8645
Cr 2.1376 1.2341 3.4102
Pt 0.0000 2.4683 4.4225
Pt 2.1376 1.2341 0.8522

=====

<two>
15
Lattice="2.7465 0.0000 0.0000 -1.3733 2.3785 0.0000 0.0000 0.0000 31.2004" Properties=species:S:1:pos:R:3 comment="Cr3Pt2 PBE relaxed" spacegroup="R-3m, No. 166" m_tot_mub_per_cell=0.000 pbc="T T T"
Cr 0.0000 0.0000 0.0000
Cr 0.0000 0.0000 6.0001
Cr 0.0000 0.0000 25.2003
Cr 0.0000 1.5857 14.8002
Cr 0.0000 1.5857 20.8003
Cr 0.0000 1.5857 26.8004
Cr 1.3733 0.7928 4.4000
Cr 1.3733 0.7928 10.4001
Cr 1.3733 0.7928 16.4003
Pt 0.0000 0.0000 12.5270
Pt 0.0000 0.0000 18.6734
Pt 0.0000 1.5857 2.1269
Pt 0.0000 1.5857 8.2733
Pt 1.3733 0.7928 22.9272
Pt 1.3733 0.7928 29.0735

=====

<two> takes first place; second place is 225 meV per atom up.

=====

<one>
7
Lattice="4.7517 0.0000 0.0000 -2.3758 4.1151 0.0000 0.0000 0.0000 5.0071" Properties=species:S:1:pos:R:3 comment="Cr3Pt4 PBE relaxed" spacegroup="P6/mmm, No. 191" m_tot_mub_per_cell=0.000 pbc="T T T"
Cr -1.1879 2.0575 0.0000
Cr 2.3758 0.0000 0.0000
Cr 1.1879 2.0575 0.0000
Pt 0.0000 0.0000 1.2620
Pt 0.0000 0.0000 3.7451
Pt 0.0000 2.7434 2.5036
Pt 2.3758 1.3717 2.5036

=====

<two>
14
Lattice="3.3310 0.0000 0.0000 0.0000 3.3310 0.0000 0.0000 0.0000 19.0454" Properties=species:S:1:pos:R:3 comment="Cr3Pt4 PBE relaxed" spacegroup="I4/mmm, No. 139" m_tot_mub_per_cell=15.383 pbc="T T T"
Cr 0.0000 0.0000 0.0000
Cr 0.0000 0.0000 5.5414
Cr 0.0000 0.0000 13.5039
Cr 1.6655 1.6655 3.9813
Cr 1.6655 1.6655 9.5227
Cr 1.6655 1.6655 15.0641
Pt 0.0000 0.0000 2.9350
Pt 0.0000 0.0000 8.1763
Pt 0.0000 0.0000 10.8690
Pt 0.0000 0.0000 16.1104
Pt 1.6655 1.6655 1.3464
Pt 1.6655 1.6655 6.5877
Pt 1.6655 1.6655 12.4577
Pt 1.6655 1.6655 17.6990

=====

<one> takes first place; second place is 65 meV per atom up.

=====

<one>
8
Lattice="3.8141 0.0000 0.0000 0.0000 3.8141 0.0000 0.0000 0.0000 8.0013" Properties=species:S:1:pos:R:3 comment="CrRePt2 PBE relaxed" spacegroup="I4/mmm, No. 139" m_tot_mub_per_cell=2.906 pbc="T T T"
Cr 0.0000 0.0000 0.0000
Cr 1.9071 1.9071 4.0006
Re 0.0000 0.0000 4.0006
Re 1.9071 1.9071 0.0000
Pt 0.0000 1.9071 2.0003
Pt 0.0000 1.9071 6.0009
Pt 1.9071 0.0000 2.0003
Pt 1.9071 0.0000 6.0009

=====

<two>
4
Lattice="4.7419 0.0000 0.0000 0.0000 4.7419 0.0000 0.0000 0.0000 2.7445" Properties=species:S:1:pos:R:3 comment="CrRePt2 PBE relaxed" spacegroup="P4/mmm, No. 123" m_tot_mub_per_cell=2.667 pbc="T T T"
Cr 0.0000 0.0000 0.0000
Re 2.3710 2.3710 0.0000
Pt 0.0000 2.3710 1.3723
Pt 2.3710 0.0000 1.3723

=====

<one> takes first place; second place is 193 meV per atom up.